Version 1
Computed, not measured: TbDy2Pt after structural relaxation at the PBE level of DFT.

total moment	0.00	μB/atom

Cell: 3.9210 3.9210 26.9767 Å, 90.00 90.00 120.00°
Space group R3m (No. 160, hexagonal axes)
Inequivalent atoms, fractional coordinates:
Tb  0.0000  0.0000  0.0000 [3 per cell]
Dy  0.0000  0.0000  0.5591 [3 per cell]
Dy  0.0000  0.0000  0.7704 [3 per cell]
Pt  0.0000  0.0000  0.1642 [3 per cell]



Version 2
Computed, not measured: TbDy2Pt after structural relaxation at the PBE level of DFT.

total moment	0.00	μB/atom

Cell: 3.7984 12.1416 9.4201 Å, 90.00 90.00 90.00°
Space group Cmcm (No. 63)
Inequivalent atoms, fractional coordinates:
Tb  0.0000  0.0698  0.2500 [4 per cell]
Dy  0.0000  0.3630  0.0635 [8 per cell]
Pt  0.0000  0.2395  0.7500 [4 per cell]



Version 3
Computed, not measured: TbDy2Pt after structural relaxation at the PBE level of DFT.

total moment	0.00	μB/atom

Cell: 3.7775 3.7775 28.5623 Å, 90.00 90.00 120.00°
Space group R-3m (No. 166, hexagonal axes)
Inequivalent atoms, fractional coordinates:
Tb  0.0000  0.0000  0.0000 [3 per cell]
Dy  0.0000  0.0000  0.2292 [6 per cell]
Pt  0.0000  0.0000  0.5000 [3 per cell]



Version 4
Computed, not measured: TbDy2Pt after structural relaxation at the PBE level of DFT.

total moment	0.00	μB/atom

Cell: 7.0525 9.6034 6.5011 Å, 90.00 90.00 90.00°
Space group Pnma (No. 62)
Inequivalent atoms, fractional coordinates:
Tb  0.0257  0.2500  0.1324 [4 per cell]
Dy  0.1797  0.0611  0.6773 [8 per cell]
Pt  0.1128  0.7500  0.4459 [4 per cell]



It comes down to version 4, which is 38 meV/atom more stable than the next structure.



Version 1
Computed, not measured: TbDy2Pt2 after structural relaxation at the PBE level of DFT.

total moment	0.00	μB/atom

Cell: 4.0221 6.7398 9.0612 Å, 90.00 90.00 90.00°
Space group Immm (No. 71)
Inequivalent atoms, fractional coordinates:
Tb  0.0000  0.0000  0.0000 [2 per cell]
Dy  0.0000  0.5000  0.1912 [4 per cell]
Pt  0.0000  0.2080  0.5000 [4 per cell]



Version 2
Computed, not measured: TbDy2Pt2 after structural relaxation at the PBE level of DFT.

total moment	0.00	μB/atom

Cell: 3.7781 27.7288 4.6339 Å, 90.00 90.00 90.00°
Space group Cmcm (No. 63)
Inequivalent atoms, fractional coordinates:
Tb  0.0000  0.1359  0.2500 [4 per cell]
Dy  0.0000  0.2308  0.7500 [4 per cell]
Dy  0.0000  0.4491  0.2500 [4 per cell]
Pt  0.0000  0.0331  0.2500 [4 per cell]
Pt  0.0000  0.3440  0.2500 [4 per cell]



It comes down to version 2, which is 31 meV/atom more stable than the next structure.



Version 1
Computed, not measured: Dy2ThPt after structural relaxation at the PBE level of DFT.

total moment	0.00	μB/atom

Cell: 3.5508 3.5508 8.4075 Å, 90.00 90.00 90.00°
Space group P4/mmm (No. 123)
Inequivalent atoms, fractional coordinates:
Dy  0.0000  0.0000  0.1975 [2 per cell]
Th  0.5000  0.5000  0.5000 [1 per cell]
Pt  0.5000  0.5000  0.0000 [1 per cell]



Version 2
Computed, not measured: Dy2ThPt after structural relaxation at the PBE level of DFT.

total moment	0.00	μB/atom

Cell: 3.5941 3.5941 32.1588 Å, 90.00 90.00 120.00°
Space group R-3m (No. 166, hexagonal axes)
Inequivalent atoms, fractional coordinates:
Dy  0.0000  0.0000  0.1078 [6 per cell]
Th  0.0000  0.0000  0.0000 [3 per cell]
Pt  0.0000  0.0000  0.5000 [3 per cell]



Version 3
Computed, not measured: Dy2ThPt after structural relaxation at the PBE level of DFT.

total moment	0.00	μB/atom

Cell: 7.0287 9.8103 6.5555 Å, 90.00 90.00 90.00°
Space group Pnma (No. 62)
Inequivalent atoms, fractional coordinates:
Dy  0.1848  0.0620  0.1658 [8 per cell]
Th  0.0273  0.2500  0.6478 [4 per cell]
Pt  0.1191  0.7500  0.9341 [4 per cell]



It comes down to version 3, which is 62 meV/atom more stable than the next structure.



Version 1
Computed, not measured: DyTiPt2 after structural relaxation at the PBE level of DFT.

total moment	0.00	μB/atom

Cell: 4.8069 4.8069 3.2129 Å, 90.00 90.00 90.00°
Space group P4/mmm (No. 123)
Inequivalent atoms, fractional coordinates:
Dy  0.0000  0.0000  0.0000 [1 per cell]
Ti  0.5000  0.5000  0.0000 [1 per cell]
Pt  0.0000  0.5000  0.5000 [2 per cell]



Version 2
Computed, not measured: DyTiPt2 after structural relaxation at the PBE level of DFT.

total moment	0.00	μB/atom

Cell: 3.2127 3.2127 7.1650 Å, 90.00 90.00 90.00°
Space group P4/mmm (No. 123)
Inequivalent atoms, fractional coordinates:
Dy  0.0000  0.0000  0.0000 [1 per cell]
Ti  0.0000  0.0000  0.5000 [1 per cell]
Pt  0.5000  0.5000  0.2948 [2 per cell]



It comes down to version 2, which is 104 meV/atom more stable than the next structure.



Version 1
Computed, not measured: Dy4TlPt after structural relaxation at the PBE level of DFT.

total moment	0.00	μB/atom

Cell: 13.7682 13.7682 13.7682 Å, 90.00 90.00 90.00°
Space group F-43m (No. 216)
Inequivalent atoms, fractional coordinates:
Dy  0.0000  0.0000  0.1883 [24 per cell]
Dy  0.0614  0.2500  0.2500 [24 per cell]
Dy  0.1483  0.1483  0.6483 [16 per cell]
Tl  0.0863  0.0863  0.4137 [16 per cell]
Pt  0.1435  0.1435  0.8565 [16 per cell]



Version 2
Computed, not measured: Dy4TlPt after structural relaxation at the PBE level of DFT.

total moment	0.00	μB/atom

Cell: 7.4687 7.1145 6.9839 Å, 90.00 92.06 90.00°
Space group P2_1/c (No. 14)
Inequivalent atoms, fractional coordinates:
Dy  0.1414  0.1606  0.1717 [4 per cell]
Dy  0.3213  0.6421  0.1236 [4 per cell]
Tl  0.5000  0.0000  0.0000 [2 per cell]
Pt  0.0000  0.0000  0.5000 [2 per cell]



It comes down to version 1, which is 209 meV/atom more stable than the next structure.



Version 1
Computed, not measured: Dy4Tl2Pt after structural relaxation at the PBE level of DFT.

total moment	0.00	μB/atom

Cell: 13.8600 3.7319 15.3357 Å, 90.00 90.00 90.00°
Space group Pnma (No. 62)
Inequivalent atoms, fractional coordinates:
Dy  0.0625  0.2500  0.1106 [4 per cell]
Dy  0.0673  0.2500  0.7091 [4 per cell]
Dy  0.1948  0.7500  0.5410 [4 per cell]
Dy  0.2195  0.2500  0.3004 [4 per cell]
Tl  0.0460  0.2500  0.4286 [4 per cell]
Tl  0.1291  0.2500  0.9084 [4 per cell]
Pt  0.2166  0.7500  0.1601 [4 per cell]



Version 2
Computed, not measured: Dy4Tl2Pt after structural relaxation at the PBE level of DFT.

total moment	0.00	μB/atom

Cell: 6.7994 3.8015 8.5582 Å, 90.00 107.48 90.00°
Space group P2/m (No. 10)
Inequivalent atoms, fractional coordinates:
Dy  0.0920  0.0000  0.2855 [2 per cell]
Dy  0.3695  0.5000  0.6779 [2 per cell]
Tl  0.2364  0.5000  0.0009 [2 per cell]
Pt  0.5000  0.0000  0.5000 [1 per cell]



It comes down to version 1, which is 116 meV/atom more stable than the next structure.



Version 1
Computed, not measured: DyTmPt after structural relaxation at the PBE level of DFT.

total moment	0.00	μB/atom

Cell: 6.8258 6.8258 6.8258 Å, 90.00 90.00 90.00°
Space group F-43m (No. 216)
Inequivalent atoms, fractional coordinates:
Dy  0.0000  0.0000  0.0000 [4 per cell]
Tm  0.0000  0.0000  0.5000 [4 per cell]
Pt  0.2500  0.2500  0.7500 [4 per cell]



Version 2
Computed, not measured: DyTmPt after structural relaxation at the PBE level of DFT.

total moment	0.00	μB/atom

Cell: 4.0853 4.0853 6.1030 Å, 90.00 90.00 120.00°
Space group P3m1 (No. 156)
Inequivalent atoms, fractional coordinates:
Dy  0.0000  0.0000  0.0000 [1 per cell]
Tm  0.3333  0.6667  0.4848 [1 per cell]
Pt  0.6667  0.3333  0.2488 [1 per cell]



It comes down to version 1, which is 122 meV/atom more stable than the next structure.



Version 1
Computed, not measured: Dy2TmPt after structural relaxation at the PBE level of DFT.

total moment	0.00	μB/atom

Cell: 6.9930 9.5478 6.4688 Å, 90.00 90.00 90.00°
Space group Pnma (No. 62)
Inequivalent atoms, fractional coordinates:
Dy  0.1827  0.0603  0.1806 [8 per cell]
Tm  0.0274  0.2500  0.6308 [4 per cell]
Pt  0.1094  0.7500  0.9556 [4 per cell]



Version 2
Computed, not measured: Dy2TmPt after structural relaxation at the PBE level of DFT.

total moment	0.00	μB/atom

Cell: 3.5696 3.5696 8.2910 Å, 90.00 90.00 90.00°
Space group P4/mmm (No. 123)
Inequivalent atoms, fractional coordinates:
Dy  0.0000  0.0000  0.1984 [2 per cell]
Tm  0.5000  0.5000  0.5000 [1 per cell]
Pt  0.5000  0.5000  0.0000 [1 per cell]



Version 3
Computed, not measured: Dy2TmPt after structural relaxation at the PBE level of DFT.

total moment	0.00	μB/atom

Cell: 3.7545 3.7545 28.3810 Å, 90.00 90.00 120.00°
Space group R-3m (No. 166, hexagonal axes)
Inequivalent atoms, fractional coordinates:
Dy  0.0000  0.0000  0.2302 [6 per cell]
Tm  0.0000  0.0000  0.0000 [3 per cell]
Pt  0.0000  0.0000  0.5000 [3 per cell]



Version 4
Computed, not measured: Dy2TmPt after structural relaxation at the PBE level of DFT.

total moment	0.00	μB/atom

Cell: 3.7592 12.0441 9.4517 Å, 90.00 90.00 90.00°
Space group Cmcm (No. 63)
Inequivalent atoms, fractional coordinates:
Dy  0.0000  0.1360  0.0638 [8 per cell]
Tm  0.0000  0.4277  0.2500 [4 per cell]
Pt  0.0000  0.2573  0.7500 [4 per cell]



It comes down to version 1, which is 42 meV/atom more stable than the next structure.



Version 1
Computed, not measured: Dy2Tm3Pt4 after structural relaxation at the PBE level of DFT.

total moment	0.00	μB/atom

Cell: 6.8361 16.2467 7.6091 Å, 90.00 90.00 90.00°
Space group Cmce (No. 64)
Inequivalent atoms, fractional coordinates:
Dy  0.0000  0.0929  0.1009 [8 per cell]
Tm  0.0000  0.0000  0.5000 [4 per cell]
Tm  0.2500  0.2212  0.7500 [8 per cell]
Pt  0.0000  0.1781  0.4471 [8 per cell]
Pt  0.2500  0.0476  0.7500 [8 per cell]



Version 2
Computed, not measured: Dy2Tm3Pt4 after structural relaxation at the PBE level of DFT.

total moment	0.00	μB/atom

Cell: 7.5950 7.6447 7.4833 Å, 90.00 109.94 90.00°
Space group P2_1/c (No. 14)
Inequivalent atoms, fractional coordinates:
Dy  0.1929  0.1790  0.0714 [4 per cell]
Tm  0.2444  0.6662  0.2458 [4 per cell]
Tm  0.5000  0.0000  0.5000 [2 per cell]
Pt  0.0860  0.5362  0.8497 [4 per cell]
Pt  0.4897  0.1363  0.8670 [4 per cell]



It comes down to version 2, which is 166 meV/atom more stable than the next structure.